Material: Ba4Pt2O
Method: DFT, PBE
State: optimized geometry

Unit cell a=10.0584 b=10.0584 c=10.0584 alpha=150.70 beta=150.70 gamma=41.91
Atoms (fractional coordinates):
Ba1 0.0000 0.5000 0.5000
Ba2 0.1881 0.1881 0.0000
Ba3 0.5000 0.0000 0.5000
Ba4 0.8119 0.8119 0.0000
Pt1 0.3531 0.3531 0.0000
Pt2 0.6469 0.6469 0.0000
O1 0.5000 0.5000 0.0000

- V: 243.1 Å³ per cell
- Formation energy (no corrections): -0.7649 eV per atom
- M_tot: 0.00 μB/f.u.
- Excess energy over the best structure of this formula in the dataset: 322 meV/atom
- SG: I4/mmm, No. 139